[1]
The following is a GGA-PBE calculation of LiCrTc2 after structural relaxation, from Alexandria.

It has space group Fm-3m (No. 225), with a = 5.8908 Å, b = 5.8908 Å, c = 5.8908 Å, α = 90.00°, β = 90.00° and γ = 90.00°. The distinct sites, in fractional coordinates, are Li at (0.0000, 0.0000, 0.0000), Cr at (0.0000, 0.0000, 0.5000) and Tc at (0.2500, 0.2500, 0.2500).

The calculation puts the polymorph energy (0 for the lowest one) at 0.049 eV per atom. As for the formation enthalpy at 0 K: 0.2341 eV/atom.

[2]
The following is a GGA-PBE calculation of BeNbB2Pt after structural relaxation, from Alexandria.

It has space group P4/mmm (No. 123), with a = 3.9591 Å, b = 3.9591 Å, c = 5.2937 Å, α = 90.00°, β = 90.00° and γ = 90.00°. The distinct sites, in fractional coordinates, are Be at (0.0000, 0.0000, 0.0000), Nb at (0.5000, 0.5000, 0.0000), B at (0.0000, 0.5000, 0.5000) and Pt at (0.5000, 0.5000, 0.5000).

As for the formation enthalpy at 0 K: 1.1026 eV/atom.

[3]
The following is a GGA-PBE calculation of PmLu2In after structural relaxation, from Alexandria.

It has space group Fm-3m (No. 225), with a = 7.6560 Å, b = 7.6560 Å, c = 7.6560 Å, α = 90.00°, β = 90.00° and γ = 90.00°. The distinct sites, in fractional coordinates, are Pm at (0.0000, 0.0000, 0.0000), Lu at (0.2500, 0.2500, 0.2500) and In at (0.0000, 0.0000, 0.5000).

The calculation puts the polymorph energy (0 for the lowest one) at 0.192 eV per atom. As for the formation enthalpy at 0 K: -0.0603 eV/atom.

[4]
The following is a GGA-PBE calculation of ErZnSnIr after structural relaxation, from Alexandria.

It has space group F-43m (No. 216), with a = 6.7198 Å, b = 6.7198 Å, c = 6.7198 Å, α = 90.00°, β = 90.00° and γ = 90.00°. The distinct sites, in fractional coordinates, are Er at (0.0000, 0.0000, 0.0000), Zn at (0.2500, 0.2500, 0.7500), Sn at (0.0000, 0.0000, 0.5000) and Ir at (0.2500, 0.2500, 0.2500).

As for the formation enthalpy at 0 K: -0.4304 eV/atom.

- The highest formation enthalpy at 0 K belongs to which entry?
  BeNbB2Pt

- Number 4 is which compound?
  ErZnSnIr

- Number 2 is which compound?
  BeNbB2Pt